A relaxed YHoGaTc crystal, computed with GGA-PBE.

Cell lengths 4.9455, 4.9455, 4.9455 Å; angles 60.00, 60.00, 60.00 degrees
Last column: nearest neighbours and their distance in Å.
Element x y z (fractional)
Y 0.7500 0.7500 0.7500  4 Tc 3.03, 4 Ga 3.03
Ho 0.2500 0.2500 0.2500  4 Ga 3.03, 4 Tc 3.03
Ga 0.0000 0.0000 0.0000  4 Y 3.03, 4 Ho 3.03
Tc 0.5000 0.5000 0.5000  4 Ho 3.03, 4 Y 3.03

A relaxed La2ScMo crystal, computed with GGA-PBE.

Cell lengths 6.2288, 6.2288, 5.4721 Å; angles 63.83, 63.83, 34.80 degrees
Last column: nearest neighbours and their distance in Å.
Element x y z (fractional)
La 0.0029 0.0029 0.9967  4 Mo 3.30-3.33, 4 Sc 3.49-3.61, 4 La 3.50-3.60
La 0.2106 0.2106 0.2885  2 Mo 2.98
Mo 0.4905 0.4905 0.5120  2 Sc 2.77, 2 La 2.98
Sc 0.7960 0.7960 0.7029  2 Mo 2.77

## Properties
Relative energy among the computed polymorphs, kcal/mol of atoms: 1.436

Number 1: VASP energy -6.355 eV/atom, DFT formation energy -24 kJ/mol of atoms. Number 2: VASP energy -6.443 eV/atom, DFT formation energy 30 kJ/mol of atoms.